A relaxed structure of Nd8Bi2Pt3. Source: Alexandria via LeMat-Bulk, functional PBE.

formation energy from the elements: -0.68 eV per atom
magnetization: 0.00 Bohr magnetons per cell
calculated total energy: -72.9 eV per cell
space-group type: C2/m (12)

a b c (Å): 7.1774 8.3738 9.2133
angles (deg): 117.03 104.32 90.00
Closest atoms and distances in Å follow each position.
Sites, in units of the cell vectors:
Pt: 0.0000 0.2529 0.0000  6 Nd 2.84-2.91
Pt: 0.5000 0.0000 0.0000  6 Nd 2.89-2.91
Pt: 0.0000 0.7471 0.0000  6 Nd 2.84-2.91
Bi: 0.6671 0.7467 0.4933  6 Nd 3.29-3.42
Bi: 0.3329 0.2533 0.5067  6 Nd 3.29-3.42
Nd: 0.0982 0.9015 0.8030  3 Pt 2.87-2.89
Nd: 0.1237 0.4081 0.8163  2 Pt 2.84
Nd: 0.5997 0.6473 0.7892  2 Pt 2.91
Nd: 0.4003 0.8581 0.2108  2 Pt 2.91
Nd: 0.4003 0.3527 0.2108  2 Pt 2.91
Nd: 0.8763 0.5919 0.1837  2 Pt 2.84
Nd: 0.5997 0.1419 0.7892  2 Pt 2.91
Nd: 0.9018 0.0985 0.1970  3 Pt 2.87-2.89